The following is a GGA-PBEsol calculation of crystalline Os2Rh at its relaxed geometry, from Alexandria.

Cell lengths 2.712, 4.304, 7.202 Å; angles 90.00, 100.85, 90.00 degrees
Fractional coordinates of all 6 atoms:
1 Rh 0.611 0.250 0.221
2 Rh 0.389 0.750 0.779
3 Os 0.720 0.750 0.439
4 Os 0.057 0.750 0.113
5 Os 0.943 0.250 0.887
6 Os 0.280 0.250 0.561

The following is a GGA-PBEsol calculation of crystalline OsRh5 at its relaxed geometry, from Alexandria.

Cell lengths 2.689, 4.321, 7.129 Å; angles 90.00, 100.87, 90.00 degrees
Fractional coordinates of all 6 atoms:
1 Rh 0.556 0.500 0.112
2 Rh 0.336 0.000 0.671
3 Rh 0.224 0.500 0.447
4 Rh 0.888 0.500 0.777
5 Rh 0.664 0.000 0.328
6 Os 0.999 0.000 0.999

The following is a GGA-PBEsol calculation of crystalline Os5Rh at its relaxed geometry, from Alexandria.

Cell lengths 2.721, 5.103, 6.392 Å; angles 103.28, 90.00, 105.46 degrees
Fractional coordinates of all 6 atoms:
1 Os 0.667 0.334 0.333
2 Os 0.998 0.996 0.001
3 Os 0.390 0.780 0.281
4 Os 0.335 0.670 0.667
5 Os 0.056 0.111 0.608
6 Rh 0.722 0.443 0.944

The following is a GGA-PBEsol calculation of crystalline Os2Rh at its relaxed geometry, from Alexandria.

Cell lengths 2.688, 3.809, 4.662 Å; angles 114.11, 106.75, 90.00 degrees
Fractional coordinates of all 3 atoms:
1 Os 0.670 0.670 0.340
2 Os 0.330 0.330 0.660
3 Rh 0.000 0.000 0.000

The following is a GGA-PBEsol calculation of crystalline OsRh at its relaxed geometry, from Alexandria.

Cell lengths 2.680, 2.680, 4.668 Å; angles 73.32, 73.32, 60.00 degrees
Fractional coordinates of all 2 atoms:
1 Rh 0.500 0.500 0.500
2 Os 0.000 0.000 0.000

The following is a GGA-PBEsol calculation of crystalline Os2Rh at its relaxed geometry, from Alexandria.

Cell lengths 2.693, 2.693, 6.603 Å; angles 90.00, 90.00, 120.00 degrees
Fractional coordinates of all 3 atoms:
1 Os 0.333 0.667 0.662
2 Os 0.667 0.333 0.338
3 Rh 0.000 0.000 0.000

The following is a GGA-PBEsol calculation of crystalline Os5Rh at its relaxed geometry, from Alexandria.

Cell lengths 4.315, 4.717, 4.717 Å; angles 120.00, 90.00, 90.00 degrees
Fractional coordinates of all 6 atoms:
1 Rh 0.500 0.000 0.000
2 Os 0.000 0.000 0.667
3 Os 0.000 0.667 0.000
4 Os 0.500 0.333 0.667
5 Os 0.000 0.333 0.333
6 Os 0.500 0.667 0.333

The following is a GGA-PBEsol calculation of crystalline Os2Rh at its relaxed geometry, from Alexandria.

Cell lengths 3.802, 5.374, 8.118 Å; angles 90.00, 90.00, 90.00 degrees
Fractional coordinates of all 12 atoms:
1 Rh 0.250 0.624 0.412
2 Rh 0.750 0.376 0.588
3 Rh 0.750 0.876 0.912
4 Rh 0.250 0.124 0.088
5 Os 0.250 0.124 0.741
6 Os 0.750 0.382 0.918
7 Os 0.750 0.876 0.259
8 Os 0.250 0.624 0.759
9 Os 0.750 0.376 0.241
10 Os 0.750 0.882 0.582
11 Os 0.250 0.118 0.418
12 Os 0.250 0.618 0.082

The following is a GGA-PBEsol calculation of crystalline OsRh at its relaxed geometry, from Alexandria.

Cell lengths 2.648, 4.145, 5.192 Å; angles 90.00, 104.78, 90.00 degrees
Fractional coordinates of all 4 atoms:
1 Os 0.175 0.250 0.351
2 Os 0.825 0.750 0.649
3 Rh 0.429 0.250 0.859
4 Rh 0.571 0.750 0.141

The following is a GGA-PBEsol calculation of crystalline OsRh at its relaxed geometry, from Alexandria.

Cell lengths 2.686, 2.686, 7.601 Å; angles 90.00, 90.00, 90.00 degrees
Fractional coordinates of all 4 atoms:
1 Rh 0.500 0.000 0.628
2 Rh 0.000 0.500 0.372
3 Os 0.500 0.000 0.124
4 Os 0.000 0.500 0.876

The following is a GGA-PBEsol calculation of crystalline OsRh5 at its relaxed geometry, from Alexandria.

Cell lengths 2.691, 5.098, 6.340 Å; angles 103.95, 90.00, 105.30 degrees
Fractional coordinates of all 6 atoms:
1 Os 0.999 0.998 0.999
2 Rh 0.055 0.110 0.611
3 Rh 0.665 0.330 0.330
4 Rh 0.336 0.673 0.672
5 Rh 0.720 0.440 0.945
6 Rh 0.391 0.782 0.276

The following is a GGA-PBEsol calculation of crystalline Os2Rh at its relaxed geometry, from Alexandria.

Cell lengths 2.713, 5.096, 6.388 Å; angles 103.46, 90.00, 105.44 degrees
Fractional coordinates of all 6 atoms:
1 Rh 0.308 0.616 0.362
2 Rh 0.692 0.384 0.638
3 Os 0.029 0.058 0.302
4 Os 0.638 0.275 0.025
5 Os 0.971 0.942 0.698
6 Os 0.362 0.725 0.975

Respective spin magnetization values: 0.00 0.00 0.00 0.00 0.00 0.00 0.00 0.00 0.00 0.00 0.00 0.00 μB/cell.
Respective uncorrected energy values: -10.852 -8.790 -11.519 -10.782 -10.110 -10.783 -11.534 -10.780 -9.991 -10.132 -8.791 -10.840 eV/atom.
Respective ΔH_f (0 K) values: 0.02 0.17 0.10 0.22 0.13 0.22 0.01 0.23 0.37 0.09 0.16 0.05 eV/f.u..